First-principles (PBE-GGA) data for EuInF3 after structural relaxation, as listed in Alexandria via LeMat-Bulk.

Cell: 4.734 4.734 4.734 Å, 90.00 90.00 90.00°
Atoms (fractional coordinates):
Eu1 0.000 0.000 0.000
In1 0.500 0.500 0.500
F1 0.000 0.000 0.500
F2 0.000 0.500 0.000
F3 0.500 0.000 0.000

Calculated values
As for the symmetry: Pm-3m (221). The calculation puts the formation energy without anion corrections at -2.84 eV per atom. For the volume, the calculation gives 21.21 A^3/atom. The density is 5.1 g/cm3.

=====

First-principles (PBE-GGA) data for LiCuTe2F after structural relaxation, as listed in Alexandria via LeMat-Bulk.

Cell: 5.376 5.376 3.494 Å, 90.00 90.00 90.00°
Atoms (fractional coordinates):
Li1 0.000 0.000 0.000
Cu1 0.500 0.500 0.000
Te1 0.000 0.500 0.500
Te2 0.500 0.000 0.500
F1 0.000 0.000 0.500

Calculated values
As for the symmetry: P4/mmm (123). The calculation puts the formation energy without anion corrections at -0.43 eV per atom. For the volume, the calculation gives 20.19 A^3/atom. The density is 5.7 g/cm3.

=====

First-principles (PBE-GGA) data for PrSm8Ho5 after structural relaxation, as listed in Alexandria via LeMat-Bulk.

Cell: 8.528 8.528 8.528 Å, 111.65 111.65 105.20°
Atoms (fractional coordinates):
Pr1 0.000 0.000 0.000
Sm1 0.090 0.679 0.764
Sm2 0.282 0.528 0.105
Sm3 0.321 0.085 0.412
Sm4 0.423 0.177 0.895
Sm5 0.472 0.577 0.754
Sm6 0.673 0.910 0.588
Sm7 0.823 0.718 0.246
Sm8 0.915 0.327 0.236
Ho1 0.028 0.211 0.595
Ho2 0.250 0.750 0.500
Ho3 0.567 0.972 0.183
Ho4 0.616 0.433 0.405
Ho5 0.789 0.384 0.817

Calculated values
As for the symmetry: I-4 (82). For the volume, the calculation gives 33.96 A^3/atom. The calculation puts the formation energy from the elements at 0.241 eV/atom. The density is 7.6 g/cm3.